Ac2Pu12Ge7: relaxed, PBE.

The structure belongs to space group P-6 (No. 174); the cell edges are 12.2405, 12.2405 and 3.9276 Å and the angles 90.00°, 90.00° and 120.00°. Symmetry generates all atoms from Ac at (0.0000, 0.0000, 0.0000), Ac at (0.3333, 0.6667, 0.5000), Pu at (0.0884, 0.3068, 0.5000), Pu at (0.1188, 0.7560, 0.0000), Pu at (0.4019, 0.1463, 0.0000), Pu at (0.5091, 0.4062, 0.5000), Ge at (0.0944, 0.4976, 0.0000), Ge at (0.2363, 0.1753, 0.5000) and Ge at (0.6667, 0.3333, 0.0000).

For the energy relative to the elements, the calculation gives -0.3276 eV per atom. The calculation puts the uncorrected energy at -219.40 eV for the cell shown.

Li6ZnPd12: relaxed, PBE.

The structure belongs to space group R-3 (No. 148, hexagonal axes); the cell edges are 11.9482, 11.9482 and 6.7214 Å and the angles 90.00°, 90.00° and 120.00°. Symmetry generates all atoms from Li at (0.0333, 0.2741, 0.3294), Zn at (0.0000, 0.0000, 0.0000), Pd at (0.0191, 0.1434, 0.6670) and Pd at (0.0695, 0.5648, 0.6684).

For the energy relative to the elements, the calculation gives -0.3388 eV per atom. The calculation puts the uncorrected energy at -244.52 eV for the cell shown.

HfP: relaxed, PBE.

The structure belongs to space group R3m (No. 160, hexagonal axes); the cell edges are 3.6294, 3.6294 and 19.0278 Å and the angles 90.00°, 90.00° and 120.00°. Symmetry generates all atoms from Hf at (0.0000, 0.0000, 0.0000), Hf at (0.0000, 0.0000, 0.1773), P at (0.0000, 0.0000, 0.5879) and P at (0.0000, 0.0000, 0.7563).

For the energy relative to the elements, the calculation gives -1.2595 eV per atom. The calculation puts the uncorrected energy at -107.29 eV for the cell shown.

AcTb2VN4: relaxed, PBE.

The structure belongs to space group Cmcm (No. 63); the cell edges are 3.482, 12.069 and 11.825 Å and the angles 90.00°, 90.00° and 90.00°. Symmetry generates all atoms from Ac at (0.000, 0.084, 0.250), Tb at (0.000, 0.370, 0.043), V at (0.000, 0.176, 0.750), N at (0.000, 0.000, 0.000), N at (0.000, 0.262, 0.624) and N at (0.000, 0.412, 0.250).

The value obtained for the formation energy without anion corrections is -10.64 eV per formula unit. The calculation puts the uncorrected energy at -265.71 eV for the cell shown.

CrCoS2N: relaxed, PBE.

The structure belongs to space group P4/mmm (No. 123); the cell edges are 4.682, 4.682 and 3.478 Å and the angles 90.00°, 90.00° and 90.00°. Symmetry generates all atoms from Cr at (0.000, 0.000, 0.000), Co at (0.500, 0.500, 0.500), S at (0.000, 0.500, 0.000) and N at (0.000, 0.000, 0.500).

The value obtained for the formation energy without anion corrections is 2.48 eV per formula unit. The calculation puts the excess energy over the best structure of this formula in the dataset at 0.55 eV per formula unit. The calculation puts the uncorrected energy at -30.83 eV for the cell shown.

MgTiCoCu: relaxed, PBE.

The structure belongs to space group F-43m (No. 216); the cell edges are 6.067, 6.067 and 6.067 Å and the angles 90.00°, 90.00° and 90.00°. Symmetry generates all atoms from Mg at (0.000, 0.000, 0.000), Ti at (0.000, 0.000, 0.500), Co at (0.250, 0.250, 0.750) and Cu at (0.250, 0.250, 0.250).

For the energy relative to the elements, the calculation gives -0.0960 eV per atom. The calculation puts the uncorrected energy at -84.30 eV for the cell shown.